Record 1
Density functional theory data (PBE) for a relaxed Tb2ErAg2 crystal.

extended XYZ file:
```
10
Lattice="1.820 -13.427 0.000 1.820 13.427 0.000 0.000 0.000 5.228" Properties=species:S:1:pos:R:3 pbc="T T T"
Tb 1.820 12.155 3.921
Tb 1.820 7.134 3.921
Tb 1.820 -7.134 1.307
Tb 1.820 -12.155 1.307
Er 1.820 9.518 1.307
Er 1.820 -9.518 3.921
Ag 1.820 3.813 1.307
Ag 1.820 1.310 3.921
Ag 1.820 -1.310 1.307
Ag 1.820 -3.813 3.921
```

mass density = 9.11 Mg/m³
DFT formation energy = -22.7 kJ per mole of atoms
SG = Cmcm, No. 63
relative energy among the computed polymorphs = 0.0 meV per atom

Record 2
Density functional theory data (PBE) for a relaxed Tb5ErAg4 crystal.

extended XYZ file:
```
10
Lattice="3.621 0.000 0.000 0.000 3.621 0.000 0.000 0.000 19.707" Properties=species:S:1:pos:R:3 pbc="T T T"
Tb 0.000 0.000 0.000
Tb 0.000 0.000 3.715
Tb 0.000 0.000 7.404
Tb 0.000 0.000 12.303
Tb 0.000 0.000 15.991
Er 1.810 1.810 9.853
Ag 1.810 1.810 1.846
Ag 1.810 1.810 5.563
Ag 1.810 1.810 14.144
Ag 1.810 1.810 17.860
```

mass density = 8.96 Mg/m³
DFT formation energy = -23.3 kJ per mole of atoms
SG = P4/mmm, No. 123

Record 3
Density functional theory data (PBE) for a relaxed Tb2ErTl2Ag2 crystal.

extended XYZ file:
```
7
Lattice="2.433 1.405 8.971 -2.433 1.405 8.971 0.000 -2.809 8.971" Properties=species:S:1:pos:R:3 pbc="T T T"
Tb 0.000 0.000 3.353
Tb 0.000 0.000 23.561
Er 0.000 0.000 0.000
Tl 0.000 0.000 6.966
Tl 0.000 0.000 19.948
Ag 0.000 0.000 10.533
Ag 0.000 0.000 16.381
```

mass density = 10.02 Mg/m³
DFT formation energy = -15.4 kJ per mole of atoms
SG = R-3m, No. 166

Record 4
Density functional theory data (PBE) for a relaxed TbEr2Tl2Ag2 crystal.

extended XYZ file:
```
7
Lattice="2.447 1.413 8.555 -2.447 1.413 8.555 0.000 -2.826 8.555" Properties=species:S:1:pos:R:3 pbc="T T T"
Tb 0.000 0.000 0.000
Er 0.000 0.000 3.410
Er 0.000 0.000 22.256
Tl 0.000 0.000 6.806
Tl 0.000 0.000 18.861
Ag 0.000 0.000 11.194
Ag 0.000 0.000 14.473
```

mass density = 10.46 Mg/m³
DFT formation energy = -14.3 kJ per mole of atoms
SG = R-3m, No. 166